# K3NpSc3Te8 PBE relaxed
data_K3NpSc3Te8
_cell_length_a 9.687
_cell_length_b 9.687
_cell_length_c 9.687
_cell_angle_alpha 52.60
_cell_angle_beta 52.60
_cell_angle_gamma 52.60
_symmetry_space_group_name_H-M 'P 1'
_symmetry_Int_Tables_number 1
_symmetry_space_group_name_Hall 'P 1'
loop_
_atom_site_label
_atom_site_fract_x
_atom_site_fract_y
_atom_site_fract_z
K1 0.000 0.500 0.500
K2 0.500 0.000 0.500
K3 0.500 0.500 0.000
Np1 0.500 0.500 0.500
Sc1 0.000 0.000 0.500
Sc2 0.000 0.500 0.000
Sc3 0.500 0.000 0.000
Te1 0.221 0.740 0.740
Te2 0.232 0.232 0.232
Te3 0.260 0.260 0.779
Te4 0.260 0.779 0.260
Te5 0.740 0.221 0.740
Te6 0.740 0.740 0.221
Te7 0.768 0.768 0.768
Te8 0.779 0.260 0.260
# - crystal system = trigonal
# - total moment (Bohr magnetons per cell) = 3.0
# - energy (eV/atom) = -5.150
# - formation energy without anion corrections (eV/f.u.) = -16.895